Here is crystalline KEuF4 at its relaxed geometry from the Alexandria database. Energies are from GGA-PBEsol.

```
data_KEuF4
_chemical_formula_sum 'K4 Eu4 F16'
_symmetry_space_group_name_H-M 'P n m a'
_symmetry_Int_Tables_number 62
_cell_length_a 6.153
_cell_length_b 3.648
_cell_length_c 15.347
_cell_angle_alpha 90.00
_cell_angle_beta 90.00
_cell_angle_gamma 90.00
loop_
_symmetry_equiv_pos_as_xyz
'x,y,z'
'-x,-y,-z'
'-x+1/2,-y,z+1/2'
'x+1/2,y,-z+1/2'
'x+1/2,-y+1/2,-z+1/2'
'-x+1/2,y+1/2,z+1/2'
'-x,y+1/2,-z'
'x,-y+1/2,z'
loop_
_atom_site_label
_atom_site_fract_x
_atom_site_fract_y
_atom_site_fract_z
K1 0.223 0.250 0.201
Eu1 0.248 0.750 0.440
F1 0.003 0.250 0.058
F2 0.092 0.250 0.808
F3 0.105 0.250 0.366
F4 0.136 0.250 0.538
```

Magnetic moment ... 6.00 μB/f.u.
ρ ... 5.15 g/cm³
Formation energy (no corrections) ... -325.5 kJ/mol of atoms
Electronic total energy ... -158.59 eV for the cell shown